Entry 1:
DFT (PBE) results for KBaGeAu after structural relaxation.

POSCAR file:
```
KBaGeAu
1.0
0.0000 3.8064 3.8064
3.8064 0.0000 3.8064
3.8064 3.8064 0.0000
K Ba Ge Au
1 1 1 1
direct
0.0000 0.0000 0.0000
0.7500 0.7500 0.7500
0.2500 0.2500 0.2500
0.5000 0.5000 0.5000
```

Results
Offset from the most stable computed form ... 0.0 kJ/mol of formula units
Space group ... F-43m, No. 216
V ... 110.3 Å³/cell
DFT total energy ... -11.68 eV/cell

=====

Entry 2:
DFT (PBE) results for PmSiH2O4 after structural relaxation.

POSCAR file:
```
PmSiH2O4
1.0
-3.2784 3.2784 4.1590
3.2784 -3.2784 4.1590
3.2784 3.2784 -4.1590
Pm Si H O
2 2 4 8
direct
0.3750 0.6250 0.7500
0.6250 0.3750 0.2500
0.1250 0.8750 0.2500
0.8750 0.1250 0.7500
0.1016 0.3516 0.7500
0.3516 0.1016 0.2500
0.6484 0.8984 0.7500
0.8984 0.6484 0.2500
0.1725 0.7387 0.4338
0.1951 0.2613 0.9338
0.2613 0.1951 0.4338
0.2613 0.8275 0.0662
0.7387 0.1725 0.9338
0.7387 0.8049 0.5662
0.8049 0.7387 0.0662
0.8275 0.2613 0.5662
```

Results
Offset from the most stable computed form ... 303.0 kJ/mol of formula units
Space group ... I4_1/amd, No. 141
V ... 178.8 Å³/cell
DFT total energy ... -99.62 eV/cell

=====

Entry 3:
DFT (PBE) results for Sr3Pd2 after structural relaxation.

POSCAR file:
```
Sr3Pd2
1.0
4.7114 2.7201 5.9677
-4.7114 2.7201 5.9677
0.0000 -5.4403 5.9677
Sr Pd
9 6
direct
0.0000 0.0000 0.0000
0.1582 0.6680 0.3958
0.2026 0.2026 0.2026
0.3320 0.6042 0.8418
0.3958 0.1582 0.6680
0.6042 0.8418 0.3320
0.6680 0.3958 0.1582
0.7974 0.7974 0.7974
0.8418 0.3320 0.6042
0.0418 0.4134 0.8471
0.1529 0.9582 0.5866
0.4134 0.8471 0.0418
0.5866 0.1529 0.9582
0.8471 0.0418 0.4134
0.9582 0.5866 0.1529
```

Results
Offset from the most stable computed form ... 1.1 kJ/mol of formula units
Space group ... R-3, No. 148
V ... 458.9 Å³/cell
DFT total energy ... -54.51 eV/cell

=====

Entry 4:
DFT (PBE) results for HfAlTc after structural relaxation.

POSCAR file:
```
HfAlTc
1.0
0.0000 3.1458 3.1458
3.1458 0.0000 3.1458
3.1458 3.1458 0.0000
Hf Al Tc
1 1 1
direct
0.0000 0.0000 0.0000
0.7500 0.7500 0.7500
0.2500 0.2500 0.2500
```

Results
Offset from the most stable computed form ... 186.6 kJ/mol of formula units
Space group ... F-43m, No. 216
V ... 62.3 Å³/cell
DFT total energy ... -22.16 eV/cell

=====

Entry 5:
DFT (PBE) results for Ta3OsPt2 after structural relaxation.

POSCAR file:
```
Ta3OsPt2
1.0
14.0124 0.0000 0.0000
0.0000 2.8749 0.0000
0.0000 0.0000 4.8717
Ta Os Pt
6 2 4
direct
0.0892 0.0000 0.1902
0.2500 0.0000 0.7985
0.4108 0.0000 0.1902
0.5892 0.0000 0.8098
0.7500 0.0000 0.2015
0.9108 0.0000 0.8098
0.2500 0.5000 0.2996
0.7500 0.5000 0.7004
0.0803 0.5000 0.6817
0.4197 0.5000 0.6817
0.5803 0.5000 0.3183
0.9197 0.5000 0.3183
```

Results
Space group ... Pmma, No. 51
DFT formation energy ... -0.46 eV per atom
V ... 196.3 Å³/cell
DFT total energy ... -123.34 eV/cell

=====

Entry 6:
DFT (PBE) results for Dy3Mg3Hg2Pt after structural relaxation.

POSCAR file:
```
Dy3Mg3Hg2Pt
1.0
7.5718 0.0000 0.0000
-3.7859 6.5574 0.0000
0.0000 0.0000 4.2421
Dy Mg Hg Pt
3 3 2 1
direct
0.0000 0.6033 0.0000
0.3967 0.3967 0.0000
0.6033 0.0000 0.0000
0.0000 0.2360 0.5000
0.2360 0.0000 0.5000
0.7640 0.7640 0.5000
0.3333 0.6667 0.5000
0.6667 0.3333 0.5000
0.0000 0.0000 0.0000
```

Results
Space group ... P-62m, No. 189
V ... 210.6 Å³/cell
DFT total energy ... -30.23 eV/cell

=====

Entry 7:
DFT (PBE) results for Ta4CoBiC2 after structural relaxation.

POSCAR file:
```
Ta4CoBiC2
1.0
3.1615 0.0000 0.0000
-1.5807 2.7379 0.0000
0.0000 0.0000 13.8948
Ta Co Bi C
4 1 1 2
direct
0.0000 0.0000 0.1371
0.0000 0.0000 0.8629
0.3333 0.6667 0.3149
0.3333 0.6667 0.6851
0.3333 0.6667 0.0000
0.0000 0.0000 0.5000
0.6667 0.3333 0.2275
0.6667 0.3333 0.7725
```

Results
Space group ... P-6m2, No. 187
V ... 120.3 Å³/cell
DFT total energy ... -78.10 eV/cell

=====

Entry 8:
DFT (PBE) results for LiLaHfPt after structural relaxation.

POSCAR file:
```
LiLaHfPt
1.0
0.0000 3.3896 3.3896
3.3896 0.0000 3.3896
3.3896 3.3896 0.0000
Li La Hf Pt
1 1 1 1
direct
0.0000 0.0000 0.0000
0.7500 0.7500 0.7500
0.5000 0.5000 0.5000
0.2500 0.2500 0.2500
```

Results
Offset from the most stable computed form ... 0.0 kJ/mol of formula units
Space group ... F-43m, No. 216
V ... 77.9 Å³/cell
DFT total energy ... -24.10 eV/cell

=====

Entry 9:
DFT (PBE) results for ZrInAuS3 after structural relaxation.

POSCAR file:
```
ZrInAuS3
1.0
1.8639 -7.4397 0.0000
1.8639 7.4397 0.0000
0.0000 0.0000 10.0845
Zr In Au S
2 2 2 6
direct
0.0000 0.0000 0.0000
0.0000 0.0000 0.5000
0.3179 0.6821 0.7500
0.6821 0.3179 0.2500
0.3270 0.6730 0.2500
0.6730 0.3270 0.7500
0.0467 0.9533 0.2500
0.3803 0.6197 0.0263
0.3803 0.6197 0.4737
0.6197 0.3803 0.5263
0.6197 0.3803 0.9737
0.9533 0.0467 0.7500
```

Results
Offset from the most stable computed form ... 0.0 kJ/mol of formula units
Space group ... Cmcm, No. 63
V ... 279.7 Å³/cell
DFT total energy ... -64.08 eV/cell

=====

Entry 10:
DFT (PBE) results for NpUIn after structural relaxation.

POSCAR file:
```
NpUIn
1.0
0.0000 3.4651 3.4651
3.4651 0.0000 3.4651
3.4651 3.4651 0.0000
Np U In
1 1 1
direct
0.0000 0.0000 0.0000
0.7500 0.7500 0.7500
0.5000 0.5000 0.5000
```

Results
Offset from the most stable computed form ... 0.0 kJ/mol of formula units
Space group ... F-43m, No. 216
V ... 83.2 Å³/cell
DFT total energy ... -24.39 eV/cell

=====

Entry 11:
DFT (PBE) results for KAuCl4 after structural relaxation.

POSCAR file:
```
KAuCl4
1.0
8.7940 0.0000 0.0000
0.0000 6.4256 0.0000
-1.1720 0.0000 12.1858
K Au Cl
4 4 16
direct
0.0000 0.2012 0.0000
0.0000 0.7988 0.5000
0.5773 0.2970 0.6361
0.5773 0.7030 0.1361
0.2868 0.2517 0.3214
0.2868 0.7483 0.8214
0.7876 0.2530 0.3166
0.7876 0.7470 0.8166
0.1227 0.0094 0.7507
0.1227 0.9906 0.2507
0.2832 0.4026 0.1495
0.2832 0.5974 0.6495
0.2920 0.0990 0.4936
0.2920 0.9010 0.9936
0.4508 0.4878 0.8922
0.4508 0.5122 0.3922
0.6601 0.0438 0.8663
0.6601 0.9562 0.3663
0.6931 0.2019 0.1348
0.6931 0.7981 0.6348
0.8830 0.3021 0.4986
0.8830 0.6979 0.9986
0.9147 0.4505 0.7670
0.9147 0.5495 0.2670
```

Results
Space group ... Pc, No. 7
V ... 688.6 Å³/cell
DFT total energy ... -68.76 eV/cell

=====

Entry 12:
DFT (PBE) results for Cs2AlZnCl6 after structural relaxation.

POSCAR file:
```
Cs2AlZnCl6
1.0
3.6174 2.0885 5.9298
-3.6174 2.0885 5.9298
0.0000 -4.1771 5.9298
Cs Al Zn Cl
2 1 1 6
direct
0.0000 0.0000 0.0000
0.4987 0.4987 0.4987
0.2491 0.2491 0.2491
0.7488 0.7488 0.7488
0.0165 0.0165 0.4829
0.0159 0.4823 0.4823
0.0165 0.4829 0.0165
0.4823 0.0159 0.4823
0.4823 0.4823 0.0159
0.4829 0.0165 0.0165
```

Results
Space group ... R3m, No. 160
V ... 268.8 Å³/cell
DFT total energy ... -32.59 eV/cell